(1)
DFT (PBE) results for a geometry-optimized YSb2Mo structure.

Cell lengths 9.5737, 9.5737, 9.5737 Å; angles 20.95, 20.95, 20.95 degrees
Site moments in Bohr magnetons follow the coordinates.
Sites, in units of the cell vectors:
Mo 0.7449 0.7449 0.7449  0.06
Sb 0.0133 0.0133 0.0133  0.00
Sb 0.2501 0.2501 0.2501  0.00
Y 0.4917 0.4917 0.4917  0.00

Properties
E_tot (eV/atom): -6.27
Formation energy from raw total energies (kcal/mol of atoms): 2.6
N(E_F) (states/eV/atom): 0.89
Symmetry: R3m, No. 160
Volume (Å³/cell): 98.3

(2)
DFT (PBE) results for a geometry-optimized YSbMo structure.

Cell lengths 5.7847, 5.7848, 3.5815 Å; angles 71.97, 71.97, 36.07 degrees
Sites, in units of the cell vectors:
Mo 0.9773 0.9773 0.0227
Sb 0.3607 0.3607 0.6393
Y 0.6620 0.6620 0.3380

Properties
E_tot (eV/atom): -7.31
Formation energy from raw total energies (kcal/mol of atoms): -3.9
N(E_F) (states/eV/atom): 0.58
Symmetry: I4mm, No. 107
Volume (Å³/cell): 66.7

(3)
DFT (PBE) results for a geometry-optimized YSbMo2 structure.

Cell lengths 3.2740, 3.2740, 7.7984 Å; angles 90.00, 90.00, 90.00 degrees
Sites, in units of the cell vectors:
Mo 0.0000 0.0000 0.0469
Mo 0.5000 0.5000 0.2224
Sb 0.0000 0.0000 0.4502
Y 0.5000 0.5000 0.7805

Properties
E_tot (eV/atom): -8.08
Formation energy from raw total energies (kcal/mol of atoms): -0.4
N(E_F) (states/eV/atom): 0.58
Symmetry: P4mm, No. 99
Volume (Å³/cell): 83.6